DFT (PBE) results for a geometry-optimized PuTlCdBi structure.

Distance to the lowest polymorph of the same formula = 0 meV per atom
Total magnetic moment = 5.78 μB/cell
Space-group type = Pmmm
Calculated formation energy = -75 kJ/mol of formula units
Energy = -5.57 eV per atom

Lattice parameters (Å, degrees): 4.6848 4.5499 5.1429 90.00 90.00 90.00
Atoms (fractional coordinates):
Cd 0.5000 0.5000 0.0000
Bi 0.5000 0.0000 0.5000
Tl 0.0000 0.0000 0.0000
Pu 0.0000 0.5000 0.5000